Entry 1:
Density functional theory data (PBE-GGA) for an optimized crystal structure of AcCdPb.

Summary:
The volume is 32.059 Å³/atom. For the total energy, the calculation gives -9.53 eV per cell. For the energy relative to the lowest polymorph listed for this composition, the calculation gives 130 meV per atom. Its space group is I4mm. The magnetic moment comes out at 0.0001 μB/atom.

Lattice parameters (Å, degrees): 6.8104 6.8104 6.8104 146.43 146.43 48.21
Last column: nearest neighbours and their distance in Å.
Element x y z (fractional)
Ac: 0.0000 0.0000 0.0000  4 Cd 3.51, 5 Pb 3.68-3.80
Cd: 0.3280 0.3280 0.0000  4 Pb 3.24, 4 Ac 3.51
Pb: 0.6941 0.6941 0.0000  4 Cd 3.24

Entry 2:
Density functional theory data (PBE-GGA) for an optimized crystal structure of YGa2Pd5.

Summary:
The volume is 17.480 Å³/atom. For the total energy, the calculation gives -43.96 eV per cell. Its space group is Immm. The magnetic moment comes out at 0.0000 μB/atom.

Lattice parameters (Å, degrees): 6.5143 6.5143 6.5143 145.65 113.74 76.80
Last column: nearest neighbours and their distance in Å.
Element x y z (fractional)
Y: 0.0000 0.0000 0.0000  10 Pd 3.20-3.56, 4 Ga 3.25
Ga: 0.2569 0.7569 0.5000  7 Pd 2.44-2.63
Ga: 0.7431 0.2431 0.5000  7 Pd 2.44-2.63
Pd: 0.1587 0.3608 0.7979  3 Ga 2.44-2.63
Pd: 0.4371 0.6392 0.7979  3 Ga 2.44-2.63
Pd: 0.5000 0.0000 0.5000  2 Ga 2.48
Pd: 0.5629 0.3608 0.2021  3 Ga 2.44-2.63
Pd: 0.8413 0.6392 0.2021  3 Ga 2.44-2.63

Entry 3:
Density functional theory data (PBE-GGA) for an optimized crystal structure of PrTe2Au.

Summary:
As for the formation energy (no corrections): -0.072 eV per atom. The volume is 33.489 Å³/atom. For the total energy, the calculation gives -14.63 eV per cell. Its space group is R-3m. The magnetic moment comes out at 0.0000 μB/atom.

Lattice parameters (Å, degrees): 9.7508 9.7508 9.7508 23.92 23.92 23.92
Last column: nearest neighbours and their distance in Å.
Element x y z (fractional)
Pr: 0.0000 0.0000 0.0000  2 Te 3.12
Te: 0.1098 0.1098 0.1098  3 Au 2.84, 1 Pr 3.12
Te: 0.8902 0.8902 0.8902  3 Au 2.84, 1 Pr 3.12
Au: 0.5000 0.5000 0.5000  6 Te 2.84

Entry 4:
Density functional theory data (PBE-GGA) for an optimized crystal structure of TaTi4Ru.

Summary:
The volume is 16.385 Å³/atom. For the total energy, the calculation gives -54.20 eV per cell. For the energy relative to the lowest polymorph listed for this composition, the calculation gives 0 meV per atom. Its space group is C2/m. The magnetic moment comes out at 0.0000 μB/atom.

Lattice parameters (Å, degrees): 5.2822 5.2822 5.5611 121.02 121.02 50.44
Last column: nearest neighbours and their distance in Å.
Element x y z (fractional)
Ta: 0.0000 0.0000 0.0000  2 Ru 2.78, 6 Ti 2.82-2.83
Ti: 0.3108 0.3108 0.6656  1 Ru 2.56, 4 Ti 2.71-2.86, 2 Ta 2.82
Ti: 0.3441 0.3441 0.1864  2 Ru 2.71, 6 Ti 2.73-3.03, 1 Ta 2.83
Ti: 0.6559 0.6559 0.8136  2 Ru 2.71, 6 Ti 2.73-3.03, 1 Ta 2.83
Ti: 0.6892 0.6892 0.3344  1 Ru 2.56, 4 Ti 2.71-2.86, 2 Ta 2.82
Ru: 0.0000 0.0000 0.5000  6 Ti 2.56-2.71, 2 Ta 2.78

Entry 5:
Density functional theory data (PBE-GGA) for an optimized crystal structure of BaMgSi2Ni.

Summary:
As for the formation energy (no corrections): -0.083 eV per atom. The volume is 21.184 Å³/atom. For the total energy, the calculation gives -20.56 eV per cell. Its space group is P4/mmm. The magnetic moment comes out at 0.0000 μB/atom.

Lattice parameters (Å, degrees): 4.6551 4.6551 4.8879 90.00 90.00 90.00
Last column: nearest neighbours and their distance in Å.
Element x y z (fractional)
Ba: 0.0000 0.0000 0.0000  4 Mg 3.29, 8 Si 3.37
Mg: 0.5000 0.5000 0.0000  2 Ni 2.44
Si: 0.0000 0.5000 0.5000  2 Ni 2.33
Si: 0.5000 0.0000 0.5000  2 Ni 2.33
Ni: 0.5000 0.5000 0.5000  4 Si 2.33, 2 Mg 2.44

Entry 6:
Density functional theory data (PBE-GGA) for an optimized crystal structure of BeCd2Pt.

Summary:
The volume is 16.668 Å³/atom. For the total energy, the calculation gives -11.30 eV per cell. Its space group is Cmmm. The magnetic moment comes out at 0.0000 μB/atom.

Lattice parameters (Å, degrees): 4.9056 4.9056 2.9692 90.00 90.00 111.07
Last column: nearest neighbours and their distance in Å.
Element x y z (fractional)
Be: 0.0000 0.0000 0.0000  2 Pt 2.78, 8 Cd 2.87, 2 Be 2.97
Cd: 0.0000 0.5000 0.5000  4 Cd 2.78-2.97, 4 Pt 2.87, 4 Be 2.87
Cd: 0.5000 0.0000 0.5000  4 Cd 2.78-2.97, 4 Pt 2.87, 4 Be 2.87
Pt: 0.5000 0.5000 0.0000  2 Be 2.78, 8 Cd 2.87, 2 Pt 2.97

Which of these has the highest magnetic moment?
AcCdPb

volume of number 3 (PrTe2Au)?
33.489 Å³/atom